<w>
A relaxed structure of Ag2HRh. Source: Alexandria, functional PBE.

The structure in POSCAR format:
```
Ag2HRh
1.0
-4.0092 4.1184 3.1161
-5.0679 -2.3782 -3.3772
-4.9279 -0.8875 1.6914
Ag H Rh
4 2 2
Direct
0.8750 0.7795 0.7500 Ag
0.3750 0.4705 0.7500 Ag
0.5295 0.1250 0.2500 Ag
0.2205 0.6250 0.2500 Ag
0.2500 0.7500 0.5000 H
0.5000 0.5000 0.0000 H
0.7500 0.2500 0.5000 Rh
0.0000 0.0000 0.0000 Rh
```

## Properties
* N(E_F): 6.6 states/eV/cell
* V: 109.48 Å³/cell


<x>
A relaxed structure of Ag2HRh. Source: Alexandria, functional PBE.

The structure in POSCAR format:
```
Ag2HRh
1.0
0.0000 3.0921 3.0921
3.0921 0.0000 3.0921
3.0921 3.0921 0.0000
H Ag Rh
1 2 1
Direct
0.0000 0.0000 0.0000 H
0.7500 0.7500 0.7500 Ag
0.2500 0.2500 0.2500 Ag
0.5000 0.5000 0.5000 Rh
```

## Properties
* N(E_F): 0.0 states/eV/cell
* V: 59.12 Å³/cell


Which structure wins on stability? <w> wins.


<w>
A relaxed structure of Sr2AgHRh. Source: Alexandria, functional PBE.

The structure in POSCAR format:
```
Sr2AgHRh
1.0
4.3495 0.0000 0.0000
0.0000 6.5715 -0.0376
0.0000 -2.8657 8.4557
Sr Rh Ag H
4 2 2 2
Direct
0.7500 0.7708 0.6001 Sr
0.2500 0.2484 0.9632 Sr
0.2500 0.2292 0.3999 Sr
0.7500 0.7516 0.0368 Sr
0.7500 0.4150 0.2272 Rh
0.2500 0.5850 0.7728 Rh
0.7500 0.3167 0.6986 Ag
0.2500 0.6833 0.3014 Ag
0.7500 0.1531 0.1240 H
0.2500 0.8469 0.8760 H
```

## Properties
* N(E_F): 3.2 states/eV/cell
* V: 241.22 Å³/cell


<x>
A relaxed structure of Sr2AgHRh. Source: Alexandria, functional PBE.

The structure in POSCAR format:
```
Sr2AgHRh
1.0
5.4972 0.0000 0.0000
0.0000 5.4972 0.0000
0.0000 0.0000 3.6143
Sr Rh H Ag
2 1 1 1
Direct
0.5000 0.0000 0.0000 Sr
0.0000 0.5000 0.0000 Sr
0.0000 0.0000 0.5000 Rh
0.0000 0.0000 0.0000 H
0.5000 0.5000 0.5000 Ag
```

## Properties
* N(E_F): 2.1 states/eV/cell
* V: 109.22 Å³/cell


Which structure wins on stability? <w> wins.


<w>
A relaxed structure of YAgHRh2. Source: Alexandria, functional PBE.

The structure in POSCAR format:
```
YAgHRh2
1.0
4.1015 0.0000 0.0000
0.0000 4.1015 0.0000
0.0000 0.0000 4.3244
H Rh Ag Y
1 2 1 1
Direct
0.0000 0.0000 0.0000 H
0.5000 0.0000 0.0000 Rh
0.0000 0.5000 0.0000 Rh
0.5000 0.5000 0.5000 Ag
0.0000 0.0000 0.5000 Y
```

## Properties
* N(E_F): 3.5 states/eV/cell
* V: 72.75 Å³/cell


<x>
A relaxed structure of YAgHRh2. Source: Alexandria, functional PBE.

The structure in POSCAR format:
```
YAgHRh2
1.0
4.1993 0.0000 0.0000
0.0000 4.1993 0.0000
0.0000 0.0000 4.0915
H Y Rh Ag
1 1 2 1
Direct
0.0000 0.0000 0.0000 H
0.5000 0.5000 0.5000 Y
0.0000 0.5000 0.0000 Rh
0.5000 0.0000 0.0000 Rh
0.0000 0.0000 0.5000 Ag
```

## Properties
* N(E_F): 4.0 states/eV/cell
* V: 72.15 Å³/cell


Which structure wins on stability? <x> wins.


<w>
A relaxed structure of AgH3Ru. Source: Alexandria, functional PBE.

The structure in POSCAR format:
```
AgH3Ru
1.0
-2.9428 0.8271 -1.6943
-1.8851 -1.3417 2.6194
-0.0305 3.1194 1.5758
H Ag Ru
3 1 1
Direct
0.5000 0.0000 0.0000 H
0.0000 0.5000 0.0000 H
0.0000 0.0000 0.5000 H
0.5000 0.5000 0.5000 Ag
0.0000 0.0000 0.0000 Ru
```

## Properties
* N(E_F): 3.4 states/eV/cell
* V: 42.69 Å³/cell


<x>
A relaxed structure of AgH3Ru. Source: Alexandria, functional PBE.

The structure in POSCAR format:
```
AgH3Ru
1.0
-2.7227 2.0817 0.7777
-1.1342 -0.2442 -3.3174
-1.9109 -2.8210 0.8610
Ag Ru H
1 1 3
Direct
0.0000 0.0000 0.0000 Ag
0.5000 0.5000 0.5000 Ru
0.5000 0.0000 0.0000 H
0.0000 0.5000 0.0000 H
0.0000 0.0000 0.5000 H
```

## Properties
* N(E_F): 2.4 states/eV/cell
* V: 43.41 Å³/cell


Which structure wins on stability? <w> wins.


<w>
A relaxed structure of AgHRu3. Source: Alexandria, functional PBE.

The structure in POSCAR format:
```
AgHRu3
1.0
-1.2841 -2.5172 2.7675
-1.6603 -2.2386 -2.8065
3.3524 -2.0729 -0.3299
H Ru Ag
1 3 1
Direct
0.0000 0.0000 0.0000 H
0.5000 0.0000 0.0000 Ru
0.0000 0.5000 0.0000 Ru
0.0000 0.0000 0.5000 Ru
0.5000 0.5000 0.5000 Ag
```

## Properties
* N(E_F): 6.0 states/eV/cell
* V: 61.88 Å³/cell


<x>
A relaxed structure of AgHRu3. Source: Alexandria, functional PBE.

The structure in POSCAR format:
```
AgHRu3
1.0
4.9263 0.0000 0.0000
0.0000 4.9263 0.0000
0.0000 0.0000 4.9263
Ru H Ag
3 1 1
Direct
0.5000 0.0000 0.0000 Ru
0.0000 0.5000 0.0000 Ru
0.0000 0.0000 0.5000 Ru
0.5000 0.5000 0.5000 H
0.0000 0.0000 0.0000 Ag
```

## Properties
* N(E_F): 9.7 states/eV/cell
* V: 119.56 Å³/cell


Which structure wins on stability? <w> wins.


<w>
A relaxed structure of Ag2HRu. Source: Alexandria, functional PBE.

The structure in POSCAR format:
```
Ag2HRu
1.0
0.0000 3.1148 3.1148
3.1148 0.0000 3.1148
3.1148 3.1148 0.0000
Ag Ru H
2 1 1
Direct
0.7500 0.7500 0.7500 Ag
0.2500 0.2500 0.2500 Ag
0.5000 0.5000 0.5000 Ru
0.0000 0.0000 0.0000 H
```

## Properties
* N(E_F): 7.3 states/eV/cell
* V: 60.44 Å³/cell


<x>
A relaxed structure of Ag2HRu. Source: Alexandria, functional PBE.

The structure in POSCAR format:
```
Ag2HRu
1.0
-0.8513 -4.5230 4.7530
4.7673 -3.7195 -2.6855
3.6885 -2.9392 2.4686
Ag H Ru
4 2 2
Direct
0.8750 0.7793 0.7500 Ag
0.2207 0.6250 0.2500 Ag
0.5293 0.1250 0.2500 Ag
0.3750 0.4707 0.7500 Ag
0.5000 0.5000 0.0000 H
0.2500 0.7500 0.5000 H
0.0000 0.0000 0.0000 Ru
0.7500 0.2500 0.5000 Ru
```

## Properties
* N(E_F): 9.1 states/eV/cell
* V: 111.18 Å³/cell


Which structure wins on stability? <x> wins.